## Pr3Dy2Ho6 (PBE-GGA)

Data for crystalline Pr3Dy2Ho6 at its relaxed geometry.

Unit cell a=5.7262 b=6.7051 c=11.9347 alpha=78.19 beta=61.35 gamma=64.72
Fractional coordinates of all 11 atoms:
1 Ho 0.2865 0.0000 0.2135
2 Ho 0.1541 0.3007 0.6955
3 Ho 0.7135 0.0000 0.7865
4 Ho 0.4548 0.6993 0.6955
5 Ho 0.8459 0.6993 0.3045
6 Ho 0.5452 0.3007 0.3045
7 Dy 0.8677 0.2646 0.5000
8 Dy 0.1323 0.7354 0.5000
9 Pr 0.0000 0.0000 0.0000
10 Pr 0.7058 0.5884 0.0000
11 Pr 0.2942 0.4116 0.0000

Values from the calculation:
* V: 33.06 Å³/atom
* calculated total energy: -4.48 eV/atom
* D(E_F): 1.515 states/eV/atom
* excess energy over the best structure of this formula in the dataset: 0.0 kJ per mole of atoms
* E_form: 0.1610 eV per atom